[1]
VASP calculation (PBE-GGA) on a relaxed structure of AcTbPm4Nd2.

As for the formation enthalpy at 0 K: 296.5 kJ/mol of formula units.

It has space group C2/c (No. 15), with a = 13.957 Å, b = 13.594 Å, c = 7.049 Å, α = 90.00°, β = 120.09° and γ = 90.00°. Symmetry generates all atoms from Ac at (0.250, 0.250, 0.000), Tb at (0.000, 0.000, 0.000), Pm at (0.000, 0.246, 0.014), Pm at (0.246, 0.008, 0.467), Nd at (0.000, 0.500, 0.000) and Nd at (0.250, 0.250, 0.500).



[2]
VASP calculation (PBE-GGA) on a relaxed structure of BaCr2Se.

The value obtained for the uncorrected formation energy is 21 meV per atom.

It has space group P4mm (No. 99), with a = 3.703 Å, b = 3.703 Å, c = 7.160 Å, α = 90.00°, β = 90.00° and γ = 90.00°. Symmetry generates all atoms from Ba at (0.000, 0.000, 0.000), Cr at (0.000, 0.000, 0.490), Cr at (0.500, 0.500, 0.371) and Se at (0.500, 0.500, 0.725).



[3]
VASP calculation (PBE-GGA) on a relaxed structure of CsOsRh3.

As for the formation enthalpy at 0 K: 1382.2 kJ/mol of formula units. The energy relative to the lowest polymorph listed for this composition comes out at 1806.9 meV/atom.

It has space group Pm-3m (No. 221), with a = 4.855 Å, b = 4.855 Å, c = 4.855 Å, α = 90.00°, β = 90.00° and γ = 90.00°. Symmetry generates all atoms from Cs at (0.000, 0.000, 0.000), Os at (0.500, 0.500, 0.500) and Rh at (0.000, 0.000, 0.500).



[4]
VASP calculation (PBE-GGA) on a relaxed structure of CaBeCr4.

As for the formation enthalpy at 0 K: 420.6 kJ/mol of formula units.

It has space group F-43m (No. 216), with a = 6.975 Å, b = 6.975 Å, c = 6.975 Å, α = 90.00°, β = 90.00° and γ = 90.00°. Symmetry generates all atoms from Ca at (0.000, 0.000, 0.000), Be at (0.250, 0.250, 0.250) and Cr at (0.124, 0.124, 0.624).



[5]
VASP calculation (PBE-GGA) on a relaxed structure of ScCdP2S.

The value obtained for the uncorrected formation energy is 585 meV per atom. The energy relative to the lowest polymorph listed for this composition comes out at 428.0 meV/atom.

It has space group P4/mmm (No. 123), with a = 4.860 Å, b = 4.860 Å, c = 4.951 Å, α = 90.00°, β = 90.00° and γ = 90.00°. Symmetry generates all atoms from Sc at (0.000, 0.000, 0.000), Cd at (0.500, 0.500, 0.500), P at (0.000, 0.500, 0.500) and S at (0.500, 0.500, 0.000).



[6]
VASP calculation (PBE-GGA) on a relaxed structure of LiCaAcSb.

The value obtained for the uncorrected formation energy is -442 meV per atom.

It has space group F-43m (No. 216), with a = 7.877 Å, b = 7.877 Å, c = 7.877 Å, α = 90.00°, β = 90.00° and γ = 90.00°. Symmetry generates all atoms from Li at (0.000, 0.000, 0.000), Ca at (0.250, 0.250, 0.250), Ac at (0.250, 0.250, 0.750) and Sb at (0.000, 0.000, 0.500).



[7]
VASP calculation (PBE-GGA) on a relaxed structure of Be2CdIr2.

As for the formation enthalpy at 0 K: -133.5 kJ/mol of formula units. The energy relative to the lowest polymorph listed for this composition comes out at 0.0 meV/atom.

It has space group P4/mbm (No. 127), with a = 6.602 Å, b = 6.602 Å, c = 2.920 Å, α = 90.00°, β = 90.00° and γ = 90.00°. Symmetry generates all atoms from Be at (0.126, 0.374, 0.000), Cd at (0.000, 0.000, 0.000) and Ir at (0.158, 0.658, 0.500).



[8]
VASP calculation (PBE-GGA) on a relaxed structure of Pm3TaGe4.

As for the formation enthalpy at 0 K: -368.3 kJ/mol of formula units.

It has space group I4/mmm (No. 139), with a = 5.782 Å, b = 5.782 Å, c = 11.643 Å, α = 90.00°, β = 90.00° and γ = 90.00°. Symmetry generates all atoms from Pm at (0.000, 0.000, 0.000), Pm at (0.000, 0.500, 0.250), Ta at (0.000, 0.000, 0.500), Ge at (0.000, 0.000, 0.272) and Ge at (0.000, 0.500, 0.000).



| no. | magnetic moment (μB per formula unit) | uncorrected energy (eV/atom) | DOS at the Fermi energy (states/eV per atom) |
| --- | --- | --- | --- |
| 1 | 0.0 | -4.276 | 2.282 |
| 2 | 0.1 | -6.142 | 0.532 |
| 3 | 3.8 | -3.963 | 1.255 |
| 4 | 0.0 | -6.644 | 1.496 |
| 5 | 0.0 | -3.853 | 0.865 |
| 6 | 0.0 | -3.478 | 0.805 |
| 7 | 0.0 | -5.495 | 0.403 |
| 8 | 0.0 | -6.049 | 0.851 |